Material: LiRhCl2
Method: DFT, PBE
State: relaxed

The structure belongs to space group F-43m (No. 216); the cell edges are 6.6320, 6.6320 and 6.6320 Å and the angles 90.00°, 90.00° and 90.00°. The distinct sites, in fractional coordinates, are Li at (0.0000, 0.0000, 0.0000), Rh at (0.2500, 0.2500, 0.2500), Cl at (0.0000, 0.0000, 0.5000) and Cl at (0.2500, 0.2500, 0.7500).

The value obtained for the density of states at the Fermi level is 22.27 states/eV/cell. For the uncorrected formation energy, the calculation gives 0.181 eV/atom. The polymorph energy (0 for the lowest one) is 853 meV per atom.

***

Material: LiRh2Cl
Method: DFT, PBE
State: relaxed

The structure belongs to space group C2/m (No. 12); the cell edges are 12.6640, 3.2077 and 3.3902 Å and the angles 90.00°, 105.07° and 90.00°. The distinct sites, in fractional coordinates, are Li at (0.0000, 0.0000, 0.0000), Rh at (0.2082, 0.5000, 0.7096) and Cl at (0.0000, 0.5000, 0.5000).

The value obtained for the density of states at the Fermi level is 10.20 states/eV/cell. For the uncorrected formation energy, the calculation gives -0.172 eV/atom. The polymorph energy (0 for the lowest one) is 2 meV per atom.

***

Material: LiRh2Cl
Method: DFT, PBE
State: relaxed

The structure belongs to space group I-42d (No. 122); the cell edges are 7.5775, 7.5775 and 4.6339 Å and the angles 90.00°, 90.00° and 90.00°. The distinct sites, in fractional coordinates, are Li at (0.0000, 0.0000, 0.0000), Rh at (0.1658, 0.2500, 0.6250) and Cl at (0.0000, 0.0000, 0.5000).

The value obtained for the density of states at the Fermi level is 20.07 states/eV/cell. For the uncorrected formation energy, the calculation gives 0.319 eV/atom. The polymorph energy (0 for the lowest one) is 493 meV per atom.

***

Material: LiRhCl2
Method: DFT, PBE
State: relaxed

The structure belongs to space group R-3m (No. 166, hexagonal axes); the cell edges are 4.0266, 4.0266 and 20.5521 Å and the angles 90.00°, 90.00° and 120.00°. The distinct sites, in fractional coordinates, are Li at (0.0000, 0.0000, 0.0000), Rh at (0.0000, 0.0000, 0.5000) and Cl at (0.0000, 0.0000, 0.1061).

For the uncorrected formation energy, the calculation gives -0.462 eV/atom. The polymorph energy (0 for the lowest one) is 210 meV per atom.

***

Material: LiRh2Cl
Method: DFT, PBE
State: relaxed

The structure belongs to space group I-4m2 (No. 119); the cell edges are 4.4172, 4.4172 and 6.2816 Å and the angles 90.00°, 90.00° and 90.00°. The distinct sites, in fractional coordinates, are Li at (0.0000, 0.0000, 0.0000), Rh at (0.0000, 0.0000, 0.5000), Rh at (0.0000, 0.5000, 0.7500) and Cl at (0.0000, 0.5000, 0.2500).

The value obtained for the density of states at the Fermi level is 6.28 states/eV/cell. For the uncorrected formation energy, the calculation gives 0.243 eV/atom. The polymorph energy (0 for the lowest one) is 417 meV per atom.

***

Material: LiRh3Cl
Method: DFT, PBE
State: relaxed

The structure belongs to space group Pm-3m (No. 221); the cell edges are 4.2688, 4.2688 and 4.2688 Å and the angles 90.00°, 90.00° and 90.00°. The distinct sites, in fractional coordinates, are Li at (0.0000, 0.0000, 0.0000), Rh at (0.0000, 0.0000, 0.5000) and Cl at (0.5000, 0.5000, 0.5000).

The value obtained for the density of states at the Fermi level is 7.94 states/eV/cell. For the uncorrected formation energy, the calculation gives 1.101 eV/atom. The polymorph energy (0 for the lowest one) is 547 meV per atom.

***

Material: LiRhCl
Method: DFT, PBE
State: relaxed

The structure belongs to space group F-43m (No. 216); the cell edges are 5.7860, 5.7860 and 5.7860 Å and the angles 90.00°, 90.00° and 90.00°. The distinct sites, in fractional coordinates, are Li at (0.0000, 0.0000, 0.0000), Rh at (0.0000, 0.0000, 0.5000) and Cl at (0.2500, 0.2500, 0.7500).

The value obtained for the density of states at the Fermi level is 16.09 states/eV/cell. For the uncorrected formation energy, the calculation gives 0.013 eV/atom. The polymorph energy (0 for the lowest one) is 194 meV per atom.

***

Material: LiRhCl5
Method: DFT, PBE
State: relaxed

The structure belongs to space group C2/c (No. 15); the cell edges are 12.7240, 6.4667 and 8.7068 Å and the angles 90.00°, 104.65° and 90.00°. The distinct sites, in fractional coordinates, are Li at (0.0000, 0.0448, 0.2500), Rh at (0.0000, 0.5000, 0.0000), Cl at (0.0000, 0.3481, 0.7500), Cl at (0.1049, 0.2064, 0.4766) and Cl at (0.1566, 0.3194, 0.1117).

The value obtained for the density of states at the Fermi level is 23.05 states/eV/cell. For the uncorrected formation energy, the calculation gives -0.747 eV/atom.